Entry 1:
The following is a GGA-PBE calculation of CaThZn4 after structural relaxation, from Alexandria.

Properties
- Energy of formation from the pure elements: -1.3 eV/f.u.
- Magnetic moment: 0.00 μB per cell
- ΔE to the lowest computed polymorph: 0.000 eV/atom
- SG: No. 119

Unit cell a=4.240 b=4.240 c=8.116 alpha=105.14 beta=105.14 gamma=90.00
Fractional positions:
Zn1 0.833 0.333 0.667
Zn2 0.667 0.167 0.333
Zn3 0.582 0.582 0.164
Zn4 0.418 0.418 0.836
Ca1 0.250 0.750 0.500
Th1 0.000 0.000 0.000

---

Entry 2:
The following is a GGA-PBE calculation of Ca5ThZn6 after structural relaxation, from Alexandria.

Properties
- Energy of formation from the pure elements: -2.7 eV/f.u.
- Magnetic moment: 0.00 μB per cell
- SG: No. 10

Unit cell a=5.212 b=7.359 c=8.204 alpha=90.00 beta=71.46 gamma=89.99
Fractional positions:
Ca1 0.669 0.000 0.662
Ca2 0.666 0.500 0.668
Ca3 0.331 0.000 0.338
Ca4 0.334 0.500 0.332
Ca5 0.000 0.500 0.000
Zn1 0.835 0.754 0.327
Zn2 0.500 0.238 0.000
Zn3 0.165 0.246 0.673
Zn4 0.165 0.754 0.673
Zn5 0.835 0.246 0.327
Zn6 0.500 0.762 0.000
Th1 0.000 0.000 0.000

---

Entry 3:
The following is a GGA-PBE calculation of CaThZn10 after structural relaxation, from Alexandria.

Properties
- Energy of formation from the pure elements: -2.8 eV/f.u.
- Magnetic moment: 0.00 μB per cell
- SG: No. 47

Unit cell a=4.244 b=5.389 c=9.355 alpha=90.00 beta=90.00 gamma=90.00
Fractional positions:
Zn1 0.000 0.500 0.840
Zn2 0.500 0.000 0.500
Zn3 0.500 0.745 0.744
Zn4 0.500 0.500 0.000
Zn5 0.500 0.255 0.744
Zn6 0.000 0.500 0.160
Zn7 0.000 0.000 0.326
Zn8 0.500 0.745 0.256
Zn9 0.500 0.255 0.256
Zn10 0.000 0.000 0.674
Ca1 0.000 0.000 0.000
Th1 0.000 0.500 0.500

---

Entry 4:
The following is a GGA-PBE calculation of CaThZn2 after structural relaxation, from Alexandria.

Properties
- Energy of formation from the pure elements: 0.1 eV/f.u.
- Magnetic moment: 0.00 μB per cell
- SG: No. 166

Unit cell a=3.631 b=3.631 c=9.601 alpha=79.10 beta=79.10 gamma=60.00
Fractional positions:
Th1 0.500 0.500 0.500
Zn1 0.251 0.251 0.247
Zn2 0.749 0.749 0.753
Ca1 0.000 0.000 0.000

---

Entry 5:
The following is a GGA-PBE calculation of CaThZr after structural relaxation, from Alexandria.

Properties
- Energy of formation from the pure elements: 0.6 eV/f.u.
- Magnetic moment: 0.00 μB per cell
- SG: No. 107

Unit cell a=3.366 b=3.366 c=8.554 alpha=101.35 beta=101.35 gamma=90.00
Fractional positions:
Th1 0.683 0.683 0.366
Zr1 0.325 0.325 0.650
Ca1 0.992 0.992 0.985

---

Entry 6:
The following is a GGA-PBE calculation of Ca4Ti after structural relaxation, from Alexandria.

Properties
- Energy of formation from the pure elements: 3.0 eV/f.u.
- Magnetic moment: 3.87 μB per cell
- SG: No. 221

Unit cell a=5.944 b=5.944 c=5.944 alpha=90.00 beta=90.00 gamma=90.00
Fractional positions:
Ca1 0.500 0.000 0.500
Ca2 0.500 0.500 0.000
Ca3 0.000 0.500 0.500
Ca4 0.000 0.000 0.000
Ti1 0.500 0.500 0.500

---

Entry 7:
The following is a GGA-PBE calculation of Ca2TiTl2 after structural relaxation, from Alexandria.

Properties
- Energy of formation from the pure elements: -0.1 eV/f.u.
- Magnetic moment: 3.92 μB per cell
- SG: No. 127

Unit cell a=7.647 b=7.647 c=4.910 alpha=90.00 beta=90.00 gamma=90.00
Fractional positions:
Ca1 0.331 0.169 0.500
Ca2 0.669 0.831 0.500
Ca3 0.169 0.669 0.500
Ca4 0.831 0.331 0.500
Tl1 0.355 0.855 0.000
Tl2 0.855 0.645 0.000
Tl3 0.145 0.355 0.000
Tl4 0.645 0.145 0.000
Ti1 0.500 0.500 0.000
Ti2 0.000 0.000 0.000

---

Entry 8:
The following is a GGA-PBE calculation of Ca3TiTl after structural relaxation, from Alexandria.

Properties
- Energy of formation from the pure elements: 3.3 eV/f.u.
- Magnetic moment: 3.04 μB per cell
- ΔE to the lowest computed polymorph: 0.000 eV/atom
- SG: No. 221

Unit cell a=5.819 b=5.819 c=5.819 alpha=90.00 beta=90.00 gamma=90.00
Fractional positions:
Ca1 0.000 0.000 0.500
Ca2 0.000 0.500 0.000
Ca3 0.500 0.000 0.000
Ti1 0.000 0.000 0.000
Tl1 0.500 0.500 0.500

---

Entry 9:
The following is a GGA-PBE calculation of CaTiTl2 after structural relaxation, from Alexandria.

Properties
- Energy of formation from the pure elements: -0.2 eV/f.u.
- Magnetic moment: 0.81 μB per cell
- SG: No. 123

Unit cell a=3.323 b=3.323 c=8.669 alpha=90.00 beta=90.00 gamma=90.00
Fractional positions:
Ti1 0.500 0.500 0.000
Tl1 0.000 0.000 0.227
Tl2 0.000 0.000 0.773
Ca1 0.500 0.500 0.500

---

Entry 10:
The following is a GGA-PBE calculation of Ca3TiTl after structural relaxation, from Alexandria.

Properties
- Energy of formation from the pure elements: 3.4 eV/f.u.
- Magnetic moment: 0.55 μB per cell
- ΔE to the lowest computed polymorph: 0.029 eV/atom
- SG: No. 221

Unit cell a=5.881 b=5.881 c=5.881 alpha=90.00 beta=90.00 gamma=90.00
Fractional positions:
Ti1 0.500 0.500 0.500
Ca1 0.000 0.500 0.000
Ca2 0.500 0.000 0.000
Ca3 0.000 0.000 0.500
Tl1 0.000 0.000 0.000

---

Entry 11:
The following is a GGA-PBE calculation of CaTiTl2 after structural relaxation, from Alexandria.

Properties
- Energy of formation from the pure elements: 1.4 eV/f.u.
- Magnetic moment: 3.98 μB per cell
- SG: No. 122

Unit cell a=4.793 b=4.793 c=10.815 alpha=77.20 beta=77.20 gamma=90.00
Fractional positions:
Ca1 0.250 0.750 0.500
Ca2 0.500 0.500 0.000
Ti1 0.750 0.250 0.500
Ti2 0.000 0.000 0.000
Tl1 0.875 0.918 0.750
Tl2 0.668 0.125 0.250
Tl3 0.082 0.625 0.250
Tl4 0.375 0.332 0.750

---

Entry 12:
The following is a GGA-PBE calculation of CaZrTi2Tl after structural relaxation, from Alexandria.

Properties
- Energy of formation from the pure elements: 4.9 eV/f.u.
- Magnetic moment: 0.64 μB per cell
- SG: No. 123

Unit cell a=4.909 b=5.858 c=4.909 alpha=90.00 beta=90.00 gamma=90.00
Fractional positions:
Ti1 0.500 0.000 0.000
Ti2 0.000 0.000 0.500
Tl1 0.500 0.500 0.500
Zr1 0.000 0.000 0.000
Ca1 0.000 0.500 0.000

---

Number 1: VASP energy -0.19348 Ry per atom, ρ 6.54 g cm⁻³. Number 2: VASP energy -0.17000 Ry per atom, ρ 4.59 g cm⁻³. Number 3: VASP energy -0.15285 Ry per atom, ρ 7.19 g cm⁻³. Number 4: VASP energy -0.21891 Ry per atom, ρ 6.25 g cm⁻³. Number 5: VASP energy -0.42440 Ry per atom, ρ 6.48 g cm⁻³. Number 6: VASP energy -0.18998 Ry per atom, ρ 1.65 g cm⁻³. Number 7: VASP energy -0.24546 Ry per atom, ρ 6.21 g cm⁻³. Number 8: VASP energy -0.19116 Ry per atom, ρ 3.14 g cm⁻³. Number 9: VASP energy -0.27315 Ry per atom, ρ 8.61 g cm⁻³. Number 10: VASP energy -0.18901 Ry per atom, ρ 3.04 g cm⁻³. Number 11: VASP energy -0.24263 Ry per atom, ρ 6.99 g cm⁻³. Number 12: VASP energy -0.35032 Ry per atom, ρ 5.07 g cm⁻³.